## BaZr4S8 (PBE)

Data for a geometry-optimized BaZr4S8 structure.

Unit cell a=7.883 b=7.883 c=7.883 alpha=60.00 beta=60.00 gamma=60.00
Atoms (fractional coordinates):
S1 0.603 0.191 0.603
S2 0.136 0.136 0.593
S3 0.191 0.603 0.603
S4 0.603 0.603 0.603
S5 0.603 0.603 0.191
S6 0.136 0.593 0.136
S7 0.136 0.136 0.136
S8 0.593 0.136 0.136
Zr1 0.368 0.368 0.368
Zr2 0.895 0.368 0.368
Zr3 0.368 0.368 0.895
Zr4 0.368 0.895 0.368
Ba1 0.750 0.750 0.750

Output
Uncorrected energy: -6.840 eV/atom
SG: F-43m (216)
E above lowest polymorph: 0.169 eV per atom